Li3Ce2ScSe6 | PBE-GGA | optimized geometry

Lattice parameters (Å, degrees): 7.115 7.115 6.881 99.80 99.80 120.08
Positions (direct):
Li1 0.000 0.000 0.000
Li2 0.342 0.658 0.000
Li3 0.658 0.342 0.000
Ce1 0.168 0.832 0.500
Ce2 0.832 0.168 0.500
Sc1 0.500 0.500 0.500
Se1 0.101 0.415 0.245
Se2 0.267 0.267 0.750
Se3 0.415 0.101 0.245
Se4 0.585 0.899 0.755
Se5 0.733 0.733 0.250
Se6 0.899 0.585 0.755

Values from the calculation:
The uncorrected formation energy is -1.58 eV per atom. As for the electronic total energy: -63.9 eV for the cell shown.

LiCe4Sc3Se8 | PBE-GGA | optimized geometry

Lattice parameters (Å, degrees): 8.136 8.136 8.136 59.28 59.28 59.28
Positions (direct):
Li1 0.000 0.000 0.000
Ce1 0.000 0.000 0.500
Ce2 0.000 0.500 0.000
Ce3 0.500 0.000 0.000
Ce4 0.500 0.500 0.500
Sc1 0.000 0.500 0.500
Sc2 0.500 0.000 0.500
Sc3 0.500 0.500 0.000
Se1 0.240 0.240 0.742
Se2 0.240 0.742 0.240
Se3 0.258 0.760 0.760
Se4 0.259 0.259 0.259
Se5 0.741 0.741 0.741
Se6 0.742 0.240 0.240
Se7 0.760 0.258 0.760
Se8 0.760 0.760 0.258

Values from the calculation:
The uncorrected formation energy is -1.69 eV per atom. As for the electronic total energy: -99.5 eV for the cell shown.

Li4CeSc3Se8 | PBE-GGA | optimized geometry

Lattice parameters (Å, degrees): 7.895 7.895 7.895 60.11 60.11 60.11
Positions (direct):
Li1 0.000 0.000 0.000
Li2 0.000 0.500 0.500
Li3 0.500 0.000 0.500
Li4 0.500 0.500 0.000
Ce1 0.500 0.500 0.500
Sc1 0.000 0.000 0.500
Sc2 0.000 0.500 0.000
Sc3 0.500 0.000 0.000
Se1 0.233 0.758 0.758
Se2 0.242 0.242 0.767
Se3 0.242 0.767 0.242
Se4 0.247 0.247 0.247
Se5 0.753 0.753 0.753
Se6 0.758 0.233 0.758
Se7 0.758 0.758 0.233
Se8 0.767 0.242 0.242

Values from the calculation:
The uncorrected formation energy is -1.58 eV per atom. As for the electronic total energy: -85.7 eV for the cell shown.

LiCeScSi | PBE-GGA | optimized geometry

Lattice parameters (Å, degrees): 4.865 4.865 4.865 60.00 60.00 60.00
Positions (direct):
Li1 0.000 0.000 0.000
Ce1 0.750 0.750 0.750
Sc1 0.250 0.250 0.250
Si1 0.500 0.500 0.500

Values from the calculation:
The uncorrected formation energy is -0.29 eV per atom. As for the electronic total energy: -20.8 eV for the cell shown.

LiCeSmSc | PBE-GGA | optimized geometry

Lattice parameters (Å, degrees): 5.374 5.374 5.374 60.00 60.00 60.00
Positions (direct):
Li1 0.000 0.000 0.000
Ce1 0.750 0.750 0.750
Sm1 0.250 0.250 0.250
Sc1 0.500 0.500 0.500

Values from the calculation:
For the energy of formation, the calculation gives 0.21 eV/atom. As for the electronic total energy: -18.0 eV for the cell shown.

LiCeScSn | PBE-GGA | optimized geometry

Lattice parameters (Å, degrees): 5.159 5.159 5.159 60.00 60.00 60.00
Positions (direct):
Li1 0.000 0.000 0.000
Ce1 0.250 0.250 0.250
Sc1 0.750 0.750 0.750
Sn1 0.500 0.500 0.500

Values from the calculation:
For the energy of formation, the calculation gives -0.30 eV/atom. As for the electronic total energy: -19.4 eV for the cell shown.

LiTbCeSc | PBE-GGA | optimized geometry

Lattice parameters (Å, degrees): 5.344 5.344 5.344 60.00 60.00 60.00
Positions (direct):
Li1 0.000 0.000 0.000
Tb1 0.250 0.250 0.250
Ce1 0.750 0.750 0.750
Sc1 0.500 0.500 0.500

Values from the calculation:
For the energy of formation, the calculation gives 0.21 eV/atom. As for the electronic total energy: -18.0 eV for the cell shown.

LiCe3Sc2Te6 | PBE-GGA | optimized geometry

Lattice parameters (Å, degrees): 9.721 9.721 8.711 103.23 103.23 25.68
Positions (direct):
Li1 0.000 0.000 0.000
Ce1 0.000 0.000 0.500
Ce2 0.335 0.335 0.166
Ce3 0.665 0.665 0.834
Sc1 0.333 0.333 0.662
Sc2 0.667 0.667 0.338
Te1 0.162 0.162 0.100
Te2 0.172 0.172 0.572
Te3 0.493 0.493 0.764
Te4 0.507 0.507 0.236
Te5 0.828 0.828 0.428
Te6 0.838 0.838 0.900

Values from the calculation:
The uncorrected formation energy is -1.24 eV per atom. As for the electronic total energy: -66.2 eV for the cell shown.

LiCe2ScTe4 | PBE-GGA | optimized geometry

Lattice parameters (Å, degrees): 7.502 4.343 7.577 90.00 109.40 90.00
Positions (direct):
Li1 0.000 0.000 0.000
Ce1 0.500 0.000 0.500
Ce2 0.500 0.500 0.000
Sc1 0.000 0.500 0.500
Te1 0.225 0.000 0.743
Te2 0.225 0.500 0.242
Te3 0.775 0.000 0.257
Te4 0.775 0.500 0.758

Values from the calculation:
The uncorrected formation energy is -1.24 eV per atom. As for the electronic total energy: -42.6 eV for the cell shown.

Li2CeScTe4 | PBE-GGA | optimized geometry

Lattice parameters (Å, degrees): 7.442 4.317 7.486 90.00 109.39 90.00
Positions (direct):
Li1 0.000 0.000 0.000
Li2 0.000 0.500 0.500
Ce1 0.500 0.000 0.500
Sc1 0.500 0.500 0.000
Te1 0.242 0.500 0.231
Te2 0.252 0.000 0.767
Te3 0.748 0.000 0.233
Te4 0.758 0.500 0.769

Values from the calculation:
The uncorrected formation energy is -1.19 eV per atom. As for the electronic total energy: -38.1 eV for the cell shown.

The calculation returns the following magnetic moment values, one per record and in order: 2.0, 4.7, 0.9, 0.6, 1.0, 1.1, 1.1, 3.6, 0.0, 1.0 Bohr magnetons per cell.